1.
Computed, not measured: a relaxed Ti4Sb2N crystal at the PBE level of DFT.

Cell: 7.0056 10.1072 3.3661 Å, 90.00 90.00 90.00°
With the nearest neighbours (Å) after each atom.
Fractional positions:
Ti (0.1264, 0.1814, 0.0000)  1 N 2.04
Ti (0.1681, 0.9329, 0.5000)  2 N 2.16
Ti (0.3319, 0.4329, 0.5000)  2 N 2.16
Ti (0.3736, 0.6814, 0.0000)  1 N 2.04
Ti (0.6264, 0.3186, 0.0000)  1 N 2.04
Ti (0.6681, 0.5671, 0.5000)  2 N 2.16
Ti (0.8319, 0.0671, 0.5000)  2 N 2.16
Ti (0.8736, 0.8186, 0.0000)  1 N 2.04
Sb (0.0632, 0.6495, 0.5000)  7 Ti 2.74-2.96
Sb (0.4368, 0.1495, 0.5000)  7 Ti 2.74-2.96
Sb (0.5632, 0.8505, 0.5000)  7 Ti 2.74-2.96
Sb (0.9368, 0.3505, 0.5000)  7 Ti 2.74-2.96
N (0.0000, 0.0000, 0.0000)  6 Ti 2.04-2.16
N (0.5000, 0.5000, 0.0000)  6 Ti 2.04-2.16

Its energy above the lowest structure with this stoichiometry is 0.0 kJ/mol of atoms.

2.
Computed, not measured: a relaxed Ti4SbN2 crystal at the PBE level of DFT.

Cell: 6.2710 6.2710 6.2710 Å, 133.14 133.14 68.44°
With the nearest neighbours (Å) after each atom.
Fractional positions:
Ti (0.0000, 0.5000, 0.5000)  2 Sb 2.49, 4 N 2.58
Ti (0.2387, 0.2387, 0.0000)  1 N 1.83
Ti (0.5000, 0.0000, 0.5000)  2 Sb 2.49, 4 N 2.58
Ti (0.7613, 0.7613, 0.0000)  1 N 1.83
Sb (0.5000, 0.5000, 0.0000)  6 Ti 2.49-2.71
N (0.0625, 0.0625, 0.0000)  1 N 1.30
N (0.9375, 0.9375, 0.0000)  1 N 1.30

Its total energy is -50.6 eV per cell.

3.
Computed, not measured: a relaxed Ti2VSbN crystal at the PBE level of DFT.

Cell: 5.1062 5.1062 4.0294 Å, 90.00 90.00 90.00°
With the nearest neighbours (Å) after each atom.
Fractional positions:
Ti (0.0000, 0.5000, 0.0000)  2 Sb 2.55
Ti (0.5000, 0.0000, 0.0000)  2 Sb 2.55
V (0.0000, 0.0000, 0.5000)  8 Ti 3.25, 4 N 3.61
Sb (0.5000, 0.5000, 0.0000)  2 N 2.01
N (0.5000, 0.5000, 0.5000)  2 Sb 2.01

Its energy above the lowest structure with this stoichiometry is 231.9 kJ/mol of atoms.

4.
Computed, not measured: a relaxed Ti2VSbN crystal at the PBE level of DFT.

Cell: 4.2965 4.2965 3.8804 Å, 90.00 90.00 90.00°
With the nearest neighbours (Å) after each atom.
Fractional positions:
Ti (0.0000, 0.5000, 0.0000)  2 N 2.15
Ti (0.5000, 0.0000, 0.0000)  2 N 2.15
V (0.0000, 0.0000, 0.5000)  2 N 1.94
Sb (0.5000, 0.5000, 0.5000)  8 Ti 2.89, 4 V 3.04
N (0.0000, 0.0000, 0.0000)  2 V 1.94, 4 Ti 2.15

Its energy above the lowest structure with this stoichiometry is 0.0 kJ/mol of atoms.